#a
# Nd2Sm8Cd

A relaxed structure of Nd2Sm8Cd (PBE-GGA, Alexandria via LeMat-Bulk).

Geometry as POSCAR:
```
Nd2Sm8Cd
1.0
5.7132 -2.5555 0.0000
5.7132 2.5555 0.0000
-3.1389 0.0000 12.3437
Nd Sm Cd
2 8 1
direct
0.1860 0.1860 0.2626
0.8140 0.8140 0.7374
0.0891 0.0891 0.6391
0.2554 0.2554 0.9124
0.3611 0.3611 0.5483
0.4632 0.4632 0.1755
0.5368 0.5368 0.8245
0.6389 0.6389 0.4517
0.7446 0.7446 0.0876
0.9109 0.9109 0.3609
0.0000 0.0000 0.0000
```

Results
- symmetry = C2/m, No. 12
- calculated density (g/cm3) = 7.39

---

#b
# Nd2Sm8Cd

A relaxed structure of Nd2Sm8Cd (PBE-GGA, Alexandria via LeMat-Bulk).

Geometry as POSCAR:
```
Nd2Sm8Cd
1.0
6.0361 -5.6069 0.0000
6.0361 5.6069 0.0000
-1.5441 0.0000 5.8939
Nd Sm Cd
2 8 1
direct
0.1387 0.1387 0.4912
0.8613 0.8613 0.5088
0.1392 0.6613 0.2039
0.2700 0.2700 0.0976
0.3387 0.8608 0.7961
0.4221 0.4221 0.7134
0.5779 0.5779 0.2866
0.6613 0.1392 0.2039
0.7300 0.7300 0.9024
0.8608 0.3387 0.7961
0.0000 0.0000 0.0000
```

Results
- symmetry = C2/m, No. 12
- calculated density (g/cm3) = 6.68

---

Most stable structure - #a; separation to the second - 345 meV per atom.

---

#a
# NdSm2Cd

A relaxed structure of NdSm2Cd (PBE-GGA, Alexandria via LeMat-Bulk).

Geometry as POSCAR:
```
NdSm2Cd
1.0
3.7121 0.0000 0.0000
0.0000 3.7121 0.0000
0.0000 0.0000 9.0381
Nd Sm Cd
1 2 1
direct
0.0000 0.0000 0.0000
0.5000 0.5000 0.2780
0.5000 0.5000 0.7220
0.0000 0.0000 0.5000
```

Results
- symmetry = P4/mmm, No. 123
- calculated density (g/cm3) = 7.43

---

#b
# NdSm2Cd

A relaxed structure of NdSm2Cd (PBE-GGA, Alexandria via LeMat-Bulk).

Geometry as POSCAR:
```
NdSm2Cd
1.0
1.8262 1.0543 11.0566
-1.8262 1.0543 11.0566
0.0000 -2.1087 11.0566
Nd Sm Cd
1 2 1
direct
0.0000 0.0000 0.0000
0.2437 0.2437 0.2437
0.7563 0.7563 0.7563
0.5000 0.5000 0.5000
```

Results
- symmetry = R-3m, No. 166
- calculated density (g/cm3) = 7.25

---

Most stable structure - #a; separation to the second - 77 meV per atom.

---

#a
# NdSm2Cd

A relaxed structure of NdSm2Cd (PBE-GGA, Alexandria via LeMat-Bulk).

Geometry as POSCAR:
```
NdSm2Cd
1.0
4.9511 0.0000 0.0000
0.0000 4.9511 0.0000
0.0000 0.0000 4.9512
Nd Sm Cd
1 2 1
direct
0.0000 0.0000 0.0000
0.0000 0.5000 0.5000
0.5000 0.0000 0.5000
0.5000 0.5000 0.0000
```

Results
- symmetry = P4/mmm, No. 123
- calculated density (g/cm3) = 7.63

---

#b
# NdSm2Cd

A relaxed structure of NdSm2Cd (PBE-GGA, Alexandria via LeMat-Bulk).

Geometry as POSCAR:
```
NdSm2Cd
1.0
1.8339 1.0588 11.0303
-1.8339 1.0588 11.0303
0.0000 -2.1176 11.0303
Nd Sm Cd
1 2 1
direct
0.0000 0.0000 0.0000
0.5766 0.5766 0.5766
0.7572 0.7572 0.7572
0.1668 0.1668 0.1668
```

Results
- symmetry = R3m, No. 160
- calculated density (g/cm3) = 7.20

---

#c
# NdSm2Cd

A relaxed structure of NdSm2Cd (PBE-GGA, Alexandria via LeMat-Bulk).

Geometry as POSCAR:
```
NdSm2Cd
1.0
0.0000 3.9336 3.9336
3.9336 0.0000 3.9336
3.9336 3.9336 0.0000
Nd Sm Cd
1 2 1
direct
0.0000 0.0000 0.0000
0.2500 0.2500 0.2500
0.7500 0.7500 0.7500
0.5000 0.5000 0.5000
```

Results
- symmetry = Fm-3m, No. 225
- calculated density (g/cm3) = 7.60

---

Most stable structure - #a; separation to the second - 48 meV per atom.